Record 1
A plane-wave DFT calculation with PBE was carried out for a geometry-optimized TlCr2Tc structure.

Calculated values
Space group: No. 44
Energy relative to the elements (meV/atom): 559

POSCAR file:
```
TlCr2Tc
1.0
5.2101 -0.0025 0.0074
2.3473 4.6514 -0.0074
-3.2535 -3.1782 2.5414
Cr Tc Tl
2 1 1
Direct
0.9749 0.9749 0.0000
0.7582 0.2582 0.5000
0.5220 0.5220 0.0000
0.2449 0.7449 0.5000
```

***

Record 2
A plane-wave DFT calculation with PBE was carried out for a geometry-optimized TlCr2Tc structure.

Calculated values
Space group: No. 123
Energy relative to the elements (meV/atom): 466

POSCAR file:
```
TlCr2Tc
1.0
-2.1789 -1.9482 0.7692
0.2559 -1.3492 -2.6924
4.8659 -4.3907 2.6627
Cr Tl Tc
2 1 1
Direct
0.0000 0.0000 0.4560
0.0000 0.0000 0.0440
0.5000 0.5000 0.7500
0.5000 0.5000 0.2500
```

***

Record 3
A plane-wave DFT calculation with PBE was carried out for a geometry-optimized TlCr2Tc structure.

Calculated values
Space group: No. 160
Energy relative to the elements (meV/atom): 612

POSCAR file:
```
TlCr2Tc
1.0
-3.5843 4.7024 6.3865
-5.3526 2.3258 6.4567
-2.7768 2.2999 7.9213
Cr Tl Tc
2 1 1
Direct
0.9872 0.9872 0.9872
0.2509 0.2509 0.2509
0.7494 0.7494 0.7494
0.5126 0.5126 0.5126
```

***

Record 4
A plane-wave DFT calculation with PBE was carried out for a geometry-optimized TlCrTc3 structure.

Calculated values
Space group: No. 221
Distance to the lowest polymorph of the same formula (eV per formula unit): 0.000
Energy relative to the elements (meV/atom): 1189

POSCAR file:
```
TlCrTc3
1.0
4.4997 0.0000 0.0000
0.0000 4.4997 0.0000
0.0000 0.0000 4.4997
Tc Tl Cr
3 1 1
Direct
0.0000 0.0000 0.5000
0.0000 0.5000 0.0000
0.5000 0.0000 0.0000
0.5000 0.5000 0.5000
0.0000 0.0000 0.0000
```

***

Record 5
A plane-wave DFT calculation with PBE was carried out for a geometry-optimized TlCr2Tc structure.

Calculated values
Space group: No. 47
Energy relative to the elements (meV/atom): 471

POSCAR file:
```
TlCr2Tc
1.0
-1.3678 -1.5889 -3.0704
-0.5367 -2.4825 1.5238
-5.7569 -0.5428 2.8454
Tl Cr Tc
1 2 1
Direct
0.5000 0.7500 0.7500
0.0000 0.9329 0.0668
0.0000 0.5671 0.4332
0.5000 0.2500 0.2500
```

***

Record 6
A plane-wave DFT calculation with PBE was carried out for a geometry-optimized TlCr2Tc structure.

Calculated values
Space group: No. 35
Energy relative to the elements (meV/atom): 632

POSCAR file:
```
TlCr2Tc
1.0
-0.1326 -0.0833 -2.8336
-0.8139 -2.4118 1.2548
-8.1289 2.8968 0.2953
Tl Tc Cr
1 1 2
Direct
0.5000 0.5000 0.7549
0.0000 0.0000 0.4640
0.0000 0.0000 0.0400
0.5000 0.5000 0.2411
```

***

Record 7
A plane-wave DFT calculation with PBE was carried out for a geometry-optimized TlCr2Tc structure.

Calculated values
Space group: No. 71
Energy relative to the elements (meV/atom): 681

POSCAR file:
```
TlCr2Tc
1.0
5.0452 -0.0433 0.0079
2.0620 4.6048 -0.0079
-3.0919 -3.0001 2.6259
Cr Tc Tl
2 1 1
Direct
0.5192 0.5192 0.0000
0.9808 0.9808 0.0000
0.7500 0.2500 0.5000
0.2500 0.7500 0.5000
```

***

Record 8
A plane-wave DFT calculation with PBE was carried out for a geometry-optimized TlCr4Tc structure.

Calculated values
Space group: No. 216
Energy relative to the elements (meV/atom): 369

POSCAR file:
```
TlCr4Tc
1.0
0.9335 -2.8044 3.8789
1.9745 1.9582 4.0061
-2.6711 0.4756 4.0523
Tc Cr Tl
1 4 1
Direct
0.7500 0.7500 0.7500
0.3742 0.3742 0.3742
0.3742 0.8775 0.3742
0.3742 0.3742 0.8775
0.8775 0.3742 0.3742
0.0000 0.0000 0.0000
```

***

Record 9
A plane-wave DFT calculation with PBE was carried out for a geometry-optimized UCrTc2 structure.

Calculated values
Space group: No. 123
Distance to the lowest polymorph of the same formula (eV per formula unit): 0.012
Energy relative to the elements (meV/atom): 50

POSCAR file:
```
UCrTc2
1.0
3.2612 0.0000 0.0000
0.0000 4.4833 0.0000
0.0000 0.0000 4.4833
Tc Cr U
2 1 1
Direct
0.0000 0.5000 0.0000
0.0000 0.0000 0.5000
0.5000 0.0000 0.0000
0.5000 0.5000 0.5000
```

***

Record 10
A plane-wave DFT calculation with PBE was carried out for a geometry-optimized UCrTc structure.

Calculated values
Space group: No. 156
Distance to the lowest polymorph of the same formula (eV per formula unit): 0.291
Energy relative to the elements (meV/atom): 299

POSCAR file:
```
UCrTc
1.0
2.8061 0.0000 0.0000
-1.4030 2.4301 0.0000
0.0000 0.0000 6.9887
U Tc Cr
1 1 1
Direct
0.6667 0.3333 0.3442
0.0000 0.0000 0.9628
0.3333 0.6667 0.6930
```

***

Record 11
A plane-wave DFT calculation with PBE was carried out for a geometry-optimized U2CrTc structure.

Calculated values
Space group: No. 166
Energy relative to the elements (meV/atom): 280

POSCAR file:
```
U2CrTc
1.0
-3.6880 2.8577 -1.7736
-1.0771 -0.0557 -4.8735
-3.8087 -1.6087 -1.6959
Cr U Tc
1 2 1
Direct
0.5000 0.5000 0.5000
0.2638 0.2638 0.2086
0.7362 0.7362 0.7914
0.0000 0.0000 0.0000
```

***

Record 12
A plane-wave DFT calculation with PBE was carried out for a geometry-optimized UCr4Tc structure.

Calculated values
Space group: No. 216
Energy relative to the elements (meV/atom): 306

POSCAR file:
```
UCr4Tc
1.0
4.9286 0.0000 0.0000
2.4643 4.2683 0.0000
2.4643 1.4228 4.0242
Cr Tc U
4 1 1
Direct
0.1238 0.6254 0.6254
0.6254 0.6254 0.6254
0.6254 0.6254 0.1238
0.6254 0.1238 0.6254
0.0000 0.0000 0.0000
0.2500 0.2500 0.2500
```